Li2CeTl2: optimized geometry, PBE-GGA.

Results
Formation enthalpy at 0 K   -0.181 eV/atom
Final energy   -15.400 eV per formula unit
Energy relative to the lowest polymorph listed for this composition   0.000 eV per atom

a b c (Å): 5.044 5.271 9.671
angles (deg): 75.99 90.00 90.00
Site moments in Bohr magnetons follow the coordinates.
Fractional coordinates of all 10 atoms:
Li  0.250  0.653  0.699  0.00
Li  0.750  0.347  0.301  0.00
Li  0.250  0.420  0.066  0.00
Li  0.750  0.580  0.934  0.00
Ce  0.250  0.835  0.302  0.83
Ce  0.750  0.165  0.698  0.83
Tl  0.250  0.003  0.906  0.00
Tl  0.750  0.997  0.094  0.00
Tl  0.250  0.254  0.481  0.01
Tl  0.750  0.746  0.519  0.01